Material: Zn2FeCo
Method: DFT, PBE-GGA
State: optimized geometry

The space group is F-43m (No. 216) and the conventional cell measures 5.846, 5.846 and 5.846 Å, with angles of 90.00, 90.00 and 90.00 degrees. The inequivalent atoms are Zn at (0.000, 0.000, 0.000), Zn at (0.250, 0.250, 0.250), Fe at (0.250, 0.250, 0.750) and Co at (0.000, 0.000, 0.500).

The energy above the most stable polymorph in this dataset is 36 meV/atom. The calculation puts the formation energy from the elements at 0.03 eV per atom.

Material: MgCdHg6
Method: DFT, PBE-GGA
State: optimized geometry

The space group is P-1 (No. 2) and the conventional cell measures 5.765, 6.203 and 6.273 Å, with angles of 68.99, 81.64 and 77.65 degrees. The inequivalent atoms are Mg at (0.000, 0.000, 0.000), Cd at (0.500, 0.500, 0.500), Hg at (0.035, 0.501, 0.249), Hg at (0.247, 0.963, 0.559) and Hg at (0.466, 0.246, 0.006).

The energy above the most stable polymorph in this dataset is 10 meV/atom. The calculation puts the formation energy from the elements at 0.00 eV per atom.

Material: EuVSi2
Method: DFT, PBE-GGA
State: optimized geometry

The space group is R-3m (No. 166, hexagonal axes) and the conventional cell measures 4.1223, 4.1223 and 16.1897 Å, with angles of 90.00, 90.00 and 120.00 degrees. The inequivalent atoms are Eu at (0.0000, 0.0000, 0.0000), V at (0.0000, 0.0000, 0.5000) and Si at (0.0000, 0.0000, 0.2135).

The calculation puts the energy relative to the elements, uncorrected at -0.22 eV/atom.

Material: TlP2Au
Method: DFT, PBE-GGA
State: optimized geometry

The space group is Pm (No. 6) and the conventional cell measures 2.797, 3.391 and 8.873 Å, with angles of 90.00, 98.94 and 90.00 degrees. The inequivalent atoms are Tl at (0.000, 0.000, 0.000), P at (0.149, 0.500, 0.314), P at (0.237, 0.000, 0.488) and Au at (0.362, 0.500, 0.735).

The energy above the most stable polymorph in this dataset is 255 meV/atom. The calculation puts the formation energy from the elements at 0.23 eV per atom.

Material: Zr2FeSb
Method: DFT, PBE-GGA
State: optimized geometry

The space group is R-3m (No. 166, hexagonal axes) and the conventional cell measures 3.4611, 3.4611 and 24.0567 Å, with angles of 90.00, 90.00 and 120.00 degrees. The inequivalent atoms are Zr at (0.0000, 0.0000, 0.2355), Fe at (0.0000, 0.0000, 0.5000) and Sb at (0.0000, 0.0000, 0.0000).

The calculation puts the energy relative to the elements, uncorrected at -0.11 eV/atom.

Material: La2Ho2Bi2C
Method: DFT, PBE-GGA
State: optimized geometry

The space group is I4/mmm (No. 139) and the conventional cell measures 4.876, 4.876 and 16.825 Å, with angles of 90.00, 90.00 and 90.00 degrees. The inequivalent atoms are La at (0.000, 0.000, 0.160), Ho at (0.000, 0.500, 0.000), Bi at (0.000, 0.000, 0.364) and C at (0.000, 0.000, 0.000).

The calculation puts the formation energy from the elements at -0.76 eV per atom.

Material: NiRu2Rh4
Method: DFT, PBE-GGA
State: optimized geometry

The space group is Cmcm (No. 63) and the conventional cell measures 4.397, 7.142 and 13.010 Å, with angles of 90.00, 90.00 and 90.00 degrees. The inequivalent atoms are Ni at (0.000, 0.035, 0.250), Ru at (0.000, 0.344, 0.052), Rh at (0.000, 0.000, 0.000), Rh at (0.000, 0.292, 0.648) and Rh at (0.000, 0.377, 0.250).

The calculation puts the formation energy from the elements at 0.39 eV per atom.

Material: TbTiGe2
Method: DFT, PBE-GGA
State: optimized geometry

The space group is R-3m (No. 166, hexagonal axes) and the conventional cell measures 4.2017, 4.2017 and 16.2707 Å, with angles of 90.00, 90.00 and 120.00 degrees. The inequivalent atoms are Tb at (0.0000, 0.0000, 0.0000), Ti at (0.0000, 0.0000, 0.5000) and Ge at (0.0000, 0.0000, 0.2322).

The energy above the most stable polymorph in this dataset is 81 meV/atom. The calculation puts the formation energy from the elements at -0.60 eV per atom.